This record from Alexandria via LeMat-Bulk describes a relaxed structure of Th6Ru2Se3S. The functional is GGA-PBE.

It has space group C2/m (No. 12), with a = 7.1761 Å, b = 12.3959 Å, c = 7.5051 Å, α = 90.00°, β = 108.53° and γ = 90.00°. The distinct sites, in fractional coordinates, are Th at (0.2267, 0.0000, 0.2223), Th at (0.2494, 0.3267, 0.2247), Ru at (0.0000, 0.1676, 0.0000), Se at (0.0000, 0.0000, 0.5000), Se at (0.0000, 0.3398, 0.5000) and S at (0.0000, 0.5000, 0.0000).

The total energy is -185.7 eV for the cell shown. The value obtained for the uncorrected formation energy is -1.2665 eV per atom.

This record from Alexandria via LeMat-Bulk describes a relaxed structure of BaSr2Pd2. The functional is GGA-PBE.

It has space group I4/mmm (No. 139), with a = 5.0033 Å, b = 5.0033 Å, c = 13.2822 Å, α = 90.00°, β = 90.00° and γ = 90.00°. The distinct sites, in fractional coordinates, are Ba at (0.0000, 0.0000, 0.0000), Sr at (0.0000, 0.5000, 0.2500) and Pd at (0.0000, 0.0000, 0.3974).

The formation energy is -0.38 eV/atom. Its energy above the most stable polymorph in this dataset is 0.106 eV per atom. The total energy is -35.2 eV for the cell shown.